Entry 1:
{
  "formula": "CuBi2",
  "functional": "PBE",
  "state": "relaxed",
  "energy_ev_per_cell": -23.12,
  "magnetic_moment_mub_per_fu": 0.000,
  "lattice": [[-3.748, 1.640, -0.659], [-2.402, -4.916, 1.525], [-2.581, 1.799, 6.157]],
  "species": ["Bi", "Bi", "Bi", "Bi", "Cu", "Cu"],
  "frac_coords": [[0.160, 0.332, 0.681], [0.840, 0.668, 0.319], [0.575, 0.802, 0.848], [0.425, 0.198, 0.152], [0.228, 0.860, 0.543], [0.772, 0.140, 0.457]]
}



Entry 2:
{
  "formula": "Ti3NbSe",
  "functional": "PBE",
  "state": "relaxed",
  "energy_ev_per_cell": -77.46,
  "e_form_raw_ev_per_fu": -1.5,
  "magnetic_moment_mub_per_fu": 0.001,
  "e_above_lowest_polymorph_ev_per_atom": 0.000,
  "lattice": [[-2.661, 3.869, -1.282], [-1.948, -2.950, 4.378], [5.852, 4.845, 2.472]],
  "species": ["Ti", "Ti", "Ti", "Ti", "Ti", "Ti", "Nb", "Nb", "Se", "Se"],
  "frac_coords": [[0.872, 0.744, 0.739], [0.128, 0.256, 0.261], [0.585, 0.169, 0.873], [0.415, 0.831, 0.127], [0.862, 0.724, 0.368], [0.138, 0.276, 0.632], [0.379, 0.759, 0.546], [0.621, 0.241, 0.454], [0.141, 0.282, 0.947], [0.859, 0.718, 0.053]]
}



Entry 3:
{
  "formula": "LaNi",
  "functional": "PBE",
  "state": "relaxed",
  "energy_ev_per_cell": -32.97,
  "magnetic_moment_mub_per_fu": 0.000,
  "lattice": [[-5.501, -2.341, 1.772], [-2.822, -4.638, 3.068], [-1.398, 1.907, 6.274]],
  "species": ["La", "La", "La", "Ni", "Ni", "Ni"],
  "frac_coords": [[0.623, 0.623, 0.623], [0.409, 0.409, 0.268], [0.326, 0.326, 0.855], [0.057, 0.057, 0.977], [0.085, 0.085, 0.340], [0.666, 0.666, 0.104]]
}



Entry 4:
{
  "formula": "Rb2SmErSe4",
  "functional": "PBE",
  "state": "relaxed",
  "energy_ev_per_cell": -39.01,
  "e_form_raw_ev_per_fu": -13.9,
  "magnetic_moment_mub_per_fu": 0.000,
  "lattice": [[4.269, 0.000, 0.000], [0.000, 7.394, 0.125], [0.000, -2.598, 7.958]],
  "species": ["Rb", "Rb", "Sm", "Er", "Se", "Se", "Se", "Se"],
  "frac_coords": [[0.500, 0.000, 0.500], [0.000, 0.500, 0.500], [0.500, 0.500, 0.000], [0.000, 0.000, 0.000], [0.500, 0.225, 0.195], [0.500, 0.775, 0.805], [0.000, 0.261, 0.802], [0.000, 0.739, 0.198]]
}



Entry 5:
{
  "formula": "ScTi2Zn",
  "functional": "PBE",
  "state": "relaxed",
  "energy_ev_per_cell": -23.43,
  "magnetic_moment_mub_per_fu": 0.001,
  "lattice": [[2.980, 0.000, 0.000], [0.000, 2.980, 0.000], [0.000, 0.000, 8.108]],
  "species": ["Sc", "Zn", "Ti", "Ti"],
  "frac_coords": [[0.500, 0.500, 0.500], [0.500, 0.500, 0.000], [0.000, 0.000, 0.775], [0.000, 0.000, 0.225]]
}



Entry 6:
{
  "formula": "Li2BiOsN",
  "functional": "PBE",
  "state": "relaxed",
  "energy_ev_per_cell": -28.15,
  "e_form_raw_ev_per_fu": -0.9,
  "magnetic_moment_mub_per_fu": 0.000,
  "lattice": [[-2.915, 2.396, -2.204], [0.291, -2.755, -3.380], [-2.853, -2.112, 1.477]],
  "species": ["Li", "Li", "Os", "Bi", "N"],
  "frac_coords": [[0.000, 0.500, 0.000], [0.500, 0.000, 0.000], [0.000, 0.000, 0.500], [0.500, 0.500, 0.500], [0.000, 0.000, 0.000]]
}



Entry 7:
{
  "formula": "NaHg2As2",
  "functional": "PBE",
  "state": "relaxed",
  "energy_ev_per_cell": -21.98,
  "magnetic_moment_mub_per_fu": 0.000,
  "e_above_lowest_polymorph_ev_per_atom": 0.037,
  "lattice": [[7.577, 0.000, 0.000], [0.000, 7.577, 0.000], [0.000, 0.000, 4.183]],
  "species": ["Na", "Na", "As", "As", "As", "As", "Hg", "Hg", "Hg", "Hg"],
  "frac_coords": [[0.000, 0.000, 0.000], [0.500, 0.500, 0.000], [0.382, 0.882, 0.000], [0.882, 0.618, 0.000], [0.618, 0.118, 0.000], [0.118, 0.382, 0.000], [0.181, 0.681, 0.500], [0.681, 0.819, 0.500], [0.819, 0.319, 0.500], [0.319, 0.181, 0.500]]
}



Entry 8:
{
  "formula": "Y3WSe",
  "functional": "PBE",
  "state": "relaxed",
  "energy_ev_per_cell": -34.24,
  "e_form_raw_ev_per_fu": 1.6,
  "magnetic_moment_mub_per_fu": 1.139,
  "e_above_lowest_polymorph_ev_per_atom": 0.000,
  "lattice": [[-2.461, 4.494, 1.184], [-4.240, -2.720, 1.510], [1.903, -0.248, 4.896]],
  "species": ["Y", "Y", "Y", "Se", "W"],
  "frac_coords": [[0.000, 0.500, 0.000], [0.000, 0.000, 0.500], [0.500, 0.000, 0.000], [0.000, 0.000, 0.000], [0.500, 0.500, 0.500]]
}



Number 1: DOS at the Fermi energy 2.97 states/eV/cell. Number 2: DOS at the Fermi energy 10.93 states/eV/cell. Number 3: DOS at the Fermi energy 6.09 states/eV/cell. Number 4: DOS at the Fermi energy 0.00 states/eV/cell. Number 5: DOS at the Fermi energy 6.09 states/eV/cell. Number 6: DOS at the Fermi energy 2.08 states/eV/cell. Number 7: DOS at the Fermi energy 5.09 states/eV/cell. Number 8: DOS at the Fermi energy 4.75 states/eV/cell.